# PBE Ba5PdO6, optimized geometry
# energy relative to the elements, uncorrected = -1984 meV/atom
# E_tot = -136.72 eV per cell
data_Ba5PdO6
_chemical_formula_sum 'Ba10 Pd2 O12'
_symmetry_space_group_name_H-M 'C 1 2/m 1'
_symmetry_Int_Tables_number 12
_symmetry_space_group_name_Hall '-C 2y'
_cell_length_a 6.631
_cell_length_b 11.773
_cell_length_c 6.620
_cell_angle_alpha 90.00
_cell_angle_beta 106.97
_cell_angle_gamma 90.00
loop_
_atom_site_label
_atom_site_fract_x
_atom_site_fract_y
_atom_site_fract_z
Ba1 0.000 0.000 0.000
Ba2 0.000 0.172 0.500
Ba3 0.000 0.341 0.000
Pd1 0.000 0.500 0.500
O1 0.211 0.500 0.308
O2 0.227 0.173 0.226